# 1
Be2AlPt3 | PBE-GGA | relaxed

CIF file:
```
data_Be2AlPt3
_cell_length_a 2.820
_cell_length_b 2.820
_cell_length_c 9.498
_cell_angle_alpha 90.00
_cell_angle_beta 90.00
_cell_angle_gamma 90.00
_space_group_name_H-M_alt 'P 4/m m m'
_space_group_IT_number 123
_space_group_name_Hall '-P 4 2'
loop_
_atom_site_label
_atom_site_fract_x
_atom_site_fract_y
_atom_site_fract_z
_atom_site_occupancy
Be1 0.000 0.000 0.154 1
Al1 0.000 0.000 0.500 1
Pt1 0.500 0.500 0.000 1
Pt2 0.500 0.500 0.309 1
```

ΔE_f = -79.4 kJ/mol of atoms

---

# 2
Er6Ga3H | PBE-GGA | relaxed

CIF file:
```
data_Er6Ga3H
_cell_length_a 11.424
_cell_length_b 13.460
_cell_length_c 6.073
_cell_angle_alpha 90.00
_cell_angle_beta 90.00
_cell_angle_gamma 90.00
_space_group_name_H-M_alt 'C m c 21'
_space_group_IT_number 36
_space_group_name_Hall 'C 2c -2'
loop_
_atom_site_label
_atom_site_fract_x
_atom_site_fract_y
_atom_site_fract_z
_atom_site_occupancy
Er1 0.000 0.087 0.000 1
Er2 0.000 0.304 0.718 1
Er3 0.172 0.295 0.211 1
Er4 0.225 0.455 0.678 1
Ga1 0.000 0.484 0.415 1
Ga2 0.111 0.121 0.515 1
H1 0.000 0.253 0.059 1
```

VASP energy = -4.3764 eV/atom

---

# 3
Ca2Ce3PmTe6 | PBE-GGA | relaxed

CIF file:
```
data_Ca2Ce3PmTe6
_cell_length_a 7.751
_cell_length_b 13.417
_cell_length_c 7.857
_cell_angle_alpha 90.00
_cell_angle_beta 109.18
_cell_angle_gamma 90.00
_space_group_name_H-M_alt 'C 1 2/m 1'
_space_group_IT_number 12
_space_group_name_Hall '-C 2y'
loop_
_atom_site_label
_atom_site_fract_x
_atom_site_fract_y
_atom_site_fract_z
_atom_site_occupancy
Ca1 0.000 0.167 0.000 1
Ce1 0.000 0.000 0.500 1
Ce2 0.000 0.334 0.500 1
Pm1 0.000 0.500 0.000 1
Te1 0.246 0.000 0.244 1
Te2 0.249 0.332 0.245 1
```

uncorrected formation energy = -139 kJ/mol of atoms

---

Calculated volume across the listed records, respectively: 12.586; 23.346; 32.158 A^3/atom.